No. 1
Material: Ho15C19
Method: DFT, meta-GGA SCAN
State: PBEsol geometry

POSCAR file:
```
Ho15C19
1.0
8.021 0.000 0.000
0.000 8.021 0.000
0.000 0.000 15.195
C Ho
38 30
direct
0.698 0.101 0.000 C
0.302 0.899 0.000 C
0.101 0.302 0.000 C
0.899 0.698 0.000 C
0.802 0.601 0.500 C
0.198 0.399 0.500 C
0.399 0.802 0.500 C
0.601 0.198 0.500 C
0.404 0.197 0.170 C
0.596 0.803 0.170 C
0.197 0.596 0.830 C
0.803 0.404 0.830 C
0.096 0.697 0.330 C
0.904 0.303 0.330 C
0.303 0.096 0.670 C
0.697 0.904 0.670 C
0.348 0.152 0.250 C
0.652 0.848 0.250 C
0.152 0.652 0.750 C
0.848 0.348 0.750 C
0.152 0.652 0.250 C
0.848 0.348 0.250 C
0.348 0.152 0.750 C
0.652 0.848 0.750 C
0.803 0.404 0.170 C
0.197 0.596 0.170 C
0.404 0.197 0.830 C
0.596 0.803 0.830 C
0.697 0.904 0.330 C
0.303 0.096 0.330 C
0.096 0.697 0.670 C
0.904 0.303 0.670 C
0.000 0.000 0.163 C
0.000 0.000 0.837 C
0.500 0.500 0.337 C
0.500 0.500 0.663 C
0.000 0.000 0.500 C
0.500 0.500 0.000 C
0.406 0.202 0.000 Ho
0.594 0.798 0.000 Ho
0.202 0.594 0.000 Ho
0.798 0.406 0.000 Ho
0.094 0.702 0.500 Ho
0.906 0.298 0.500 Ho
0.298 0.094 0.500 Ho
0.702 0.906 0.500 Ho
0.099 0.285 0.151 Ho
0.901 0.715 0.151 Ho
0.285 0.901 0.849 Ho
0.715 0.099 0.849 Ho
0.401 0.785 0.349 Ho
0.599 0.215 0.349 Ho
0.215 0.401 0.651 Ho
0.785 0.599 0.651 Ho
0.715 0.099 0.151 Ho
0.285 0.901 0.151 Ho
0.099 0.285 0.849 Ho
0.901 0.715 0.849 Ho
0.785 0.599 0.349 Ho
0.215 0.401 0.349 Ho
0.401 0.785 0.651 Ho
0.599 0.215 0.651 Ho
0.500 0.500 0.831 Ho
0.500 0.500 0.169 Ho
0.000 0.000 0.669 Ho
0.000 0.000 0.331 Ho
0.000 0.000 0.000 Ho
0.500 0.500 0.500 Ho
```

Properties
Symmetry: P4/mnc, No. 128
ΔH_f (0 K), meV per atom: -470
Theoretical density, Mg/m³: 9.2

No. 2
Material: LaHo4C10
Method: DFT, meta-GGA SCAN
State: PBEsol geometry

POSCAR file:
```
LaHo4C10
1.0
4.137 0.000 0.000
0.000 5.173 0.000
-0.286 -2.587 9.683
La Ho C
1 4 10
direct
0.000 0.000 0.000 La
0.409 0.399 0.798 Ho
0.791 0.796 0.592 Ho
0.209 0.204 0.408 Ho
0.591 0.601 0.202 Ho
0.518 0.912 0.824 C
0.936 0.322 0.644 C
0.322 0.718 0.437 C
0.735 0.130 0.259 C
0.129 0.520 0.041 C
0.871 0.480 0.959 C
0.265 0.870 0.741 C
0.678 0.282 0.563 C
0.064 0.678 0.356 C
0.482 0.088 0.176 C
```

Properties
Symmetry: C2/m, No. 12
ΔH_f (0 K), meV per atom: -298
Theoretical density, Mg/m³: 7.4

No. 3
Material: La4HoC10
Method: DFT, meta-GGA SCAN
State: PBEsol geometry

POSCAR file:
```
La4HoC10
1.0
-3.677 -0.124 2.060
2.611 -1.125 3.115
2.027 13.643 0.861
C Ho La
10 1 4
direct
0.195 0.994 0.190 C
0.800 0.599 0.399 C
0.401 0.200 0.601 C
0.601 0.399 0.000 C
0.006 0.805 0.810 C
0.599 0.800 0.399 C
0.200 0.401 0.601 C
0.805 0.006 0.810 C
0.994 0.195 0.190 C
0.399 0.601 0.000 C
0.000 0.000 0.000 Ho
0.402 0.402 0.803 La
0.801 0.801 0.602 La
0.199 0.199 0.398 La
0.598 0.598 0.197 La
```

Properties
Symmetry: Fmmm, No. 69
ΔH_f (0 K), meV per atom: -277
Theoretical density, Mg/m³: 5.9

No. 4
Material: Ho10Mn13C18
Method: DFT, meta-GGA SCAN
State: PBEsol geometry

POSCAR file:
```
Ho10Mn13C18
1.0
-8.066 2.246 -1.924
1.612 -7.839 -3.123
1.000 -0.056 8.532
Ho Mn C
10 13 18
direct
0.500 0.750 0.250 Ho
0.250 0.500 0.750 Ho
0.750 0.250 0.500 Ho
0.750 0.500 0.250 Ho
0.500 0.250 0.750 Ho
0.250 0.750 0.500 Ho
0.590 0.590 0.590 Ho
0.000 0.000 0.410 Ho
0.000 0.410 0.000 Ho
0.410 0.000 0.000 Ho
0.000 0.000 0.000 Mn
0.333 0.333 0.153 Mn
0.153 0.333 0.333 Mn
0.333 0.153 0.333 Mn
0.180 0.180 0.847 Mn
0.000 0.820 0.667 Mn
0.820 0.000 0.667 Mn
0.820 0.667 0.000 Mn
0.000 0.667 0.820 Mn
0.180 0.847 0.180 Mn
0.667 0.820 0.000 Mn
0.847 0.180 0.180 Mn
0.667 0.000 0.820 Mn
0.295 0.295 0.516 C
0.516 0.295 0.295 C
0.295 0.516 0.295 C
0.779 0.779 0.484 C
0.000 0.221 0.705 C
0.221 0.000 0.705 C
0.221 0.705 0.000 C
0.000 0.705 0.221 C
0.779 0.484 0.779 C
0.705 0.221 0.000 C
0.484 0.779 0.779 C
0.705 0.000 0.221 C
0.430 0.430 0.000 C
0.000 0.430 0.430 C
0.430 0.000 0.430 C
0.000 0.570 0.570 C
0.570 0.000 0.570 C
0.570 0.570 0.000 C
```

Properties
Symmetry: I-43m, No. 217
ΔH_f (0 K), meV per atom: -404
Theoretical density, Mg/m³: 8.8

No. 5
Material: Ho2Mn17C3
Method: DFT, meta-GGA SCAN
State: PBEsol geometry

POSCAR file:
```
Ho2Mn17C3
1.0
-4.389 -5.413 4.270
5.502 0.469 6.250
-6.548 5.162 -0.187
Ho Mn C
4 34 6
direct
0.250 0.333 0.667 Ho
0.750 0.667 0.333 Ho
0.250 0.000 0.000 Ho
0.750 0.000 0.000 Ho
0.250 0.938 0.609 Mn
0.750 0.062 0.391 Mn
0.250 0.671 0.062 Mn
0.750 0.609 0.938 Mn
0.750 0.329 0.938 Mn
0.250 0.391 0.062 Mn
0.250 0.391 0.329 Mn
0.750 0.062 0.671 Mn
0.750 0.609 0.671 Mn
0.250 0.938 0.329 Mn
0.750 0.329 0.391 Mn
0.250 0.671 0.609 Mn
0.893 0.333 0.667 Mn
0.107 0.667 0.333 Mn
0.393 0.667 0.333 Mn
0.607 0.333 0.667 Mn
0.473 0.657 0.829 Mn
0.527 0.343 0.171 Mn
0.473 0.171 0.343 Mn
0.973 0.343 0.171 Mn
0.527 0.829 0.657 Mn
0.027 0.657 0.829 Mn
0.473 0.171 0.829 Mn
0.973 0.829 0.657 Mn
0.527 0.829 0.171 Mn
0.027 0.171 0.343 Mn
0.973 0.829 0.171 Mn
0.027 0.171 0.829 Mn
0.500 0.000 0.500 Mn
0.500 0.500 0.000 Mn
0.000 0.000 0.500 Mn
0.500 0.500 0.500 Mn
0.000 0.500 0.000 Mn
0.000 0.500 0.500 Mn
0.250 0.671 0.835 C
0.750 0.329 0.165 C
0.250 0.165 0.329 C
0.750 0.835 0.671 C
0.250 0.165 0.835 C
0.750 0.835 0.165 C
```

Properties
Symmetry: P6_3/mmc, No. 194
ΔH_f (0 K), meV per atom: -109
Theoretical density, Mg/m³: 8.8

No. 6
Material: HoMn2SiC
Method: DFT, meta-GGA SCAN
State: PBEsol geometry

POSCAR file:
```
HoMn2SiC
1.0
-1.812 -1.495 2.805
2.393 -3.982 -2.963
5.638 0.486 3.901
Ho Mn Si C
2 4 2 2
direct
0.456 0.912 0.250 Ho
0.544 0.088 0.750 Ho
0.169 0.338 0.437 Mn
0.831 0.662 0.563 Mn
0.831 0.662 0.937 Mn
0.169 0.338 0.063 Mn
0.736 0.472 0.250 Si
0.264 0.528 0.750 Si
0.000 0.000 0.500 C
0.000 0.000 0.000 C
```

Properties
Symmetry: Cmcm, No. 63
Formation energy (no corrections), eV/atom: -0.594
Theoretical density, Mg/m³: 8.0

No. 7
Material: Ho2Mo2C3
Method: DFT, meta-GGA SCAN
State: PBEsol geometry

POSCAR file:
```
Ho2Mo2C3
1.0
-0.415 1.680 2.852
-5.286 1.198 -1.475
0.171 -5.672 1.415
C Mo Ho
3 2 2
direct
0.000 0.500 0.000 C
0.730 0.258 0.461 C
0.270 0.742 0.539 C
0.149 0.372 0.299 Mo
0.851 0.628 0.701 Mo
0.386 0.179 0.771 Ho
0.614 0.821 0.229 Ho
```

Properties
Symmetry: C2/m, No. 12
ΔH_f (0 K), meV per atom: -409
Theoretical density, Mg/m³: 9.3

No. 8
Material: Ho2Si4CN6
Method: DFT, meta-GGA SCAN
State: PBEsol geometry

POSCAR file:
```
Ho2Si4CN6
1.0
5.893 0.000 0.000
0.000 9.888 0.000
0.055 0.000 10.283
C Ho N Si
4 8 24 16
direct
0.773 0.291 0.253 C
0.727 0.791 0.247 C
0.227 0.709 0.747 C
0.273 0.209 0.753 C
0.235 0.567 0.095 Ho
0.265 0.067 0.405 Ho
0.765 0.433 0.905 Ho
0.735 0.933 0.595 Ho
0.237 0.413 0.418 Ho
0.263 0.913 0.082 Ho
0.763 0.587 0.582 Ho
0.737 0.087 0.918 Ho
0.031 0.210 0.009 N
0.469 0.710 0.491 N
0.969 0.790 0.991 N
0.531 0.290 0.509 N
0.658 0.044 0.400 N
0.842 0.544 0.100 N
0.342 0.956 0.600 N
0.158 0.456 0.900 N
0.024 0.033 0.225 N
0.476 0.533 0.275 N
0.976 0.967 0.775 N
0.524 0.467 0.725 N
0.507 0.290 0.001 N
0.993 0.790 0.499 N
0.493 0.710 0.999 N
0.007 0.210 0.501 N
0.276 0.261 0.248 N
0.224 0.761 0.252 N
0.724 0.739 0.752 N
0.776 0.239 0.748 N
0.567 0.053 0.135 N
0.933 0.553 0.365 N
0.433 0.947 0.865 N
0.067 0.447 0.635 N
0.754 0.479 0.249 Si
0.746 0.979 0.251 Si
0.246 0.521 0.751 Si
0.254 0.021 0.749 Si
0.745 0.213 0.421 Si
0.755 0.713 0.079 Si
0.255 0.787 0.579 Si
0.245 0.287 0.921 Si
0.027 0.204 0.177 Si
0.473 0.704 0.323 Si
0.973 0.796 0.823 Si
0.527 0.296 0.677 Si
0.521 0.227 0.159 Si
0.979 0.727 0.341 Si
0.479 0.773 0.841 Si
0.021 0.273 0.659 Si
```

Properties
Symmetry: P2_1/c, No. 14
Formation energy (no corrections), eV/atom: -1.458
Theoretical density, Mg/m³: 6.0

No. 9
Material: Na2HoPCO7
Method: DFT, meta-GGA SCAN
State: PBEsol geometry

POSCAR file:
```
Na2HoPCO7
1.0
5.040 0.000 0.007
0.000 6.921 0.000
-0.132 0.000 9.340
Na Ho P C O
4 2 2 2 14
direct
0.758 0.489 0.790 Na
0.758 0.011 0.790 Na
0.242 0.511 0.210 Na
0.242 0.989 0.210 Na
0.221 0.750 0.626 Ho
0.779 0.250 0.374 Ho
0.303 0.250 0.585 P
0.697 0.750 0.415 P
0.258 0.750 0.916 C
0.742 0.250 0.084 C
0.713 0.250 0.951 O
0.028 0.750 0.850 O
0.462 0.750 0.828 O
0.187 0.067 0.653 O
0.187 0.433 0.653 O
0.762 0.750 0.580 O
0.611 0.250 0.599 O
0.389 0.750 0.401 O
0.238 0.250 0.420 O
0.813 0.567 0.347 O
0.813 0.933 0.347 O
0.538 0.250 0.172 O
0.972 0.250 0.150 O
0.287 0.750 0.049 O
```

Properties
Symmetry: P2_1/m, No. 11
Formation energy (no corrections), eV/atom: -2.582
Theoretical density, Mg/m³: 3.7

No. 10
Material: Ho4Ni13C4
Method: DFT, meta-GGA SCAN
State: PBEsol geometry

POSCAR file:
```
Ho4Ni13C4
1.0
3.788 0.000 0.000
0.000 8.250 0.000
0.000 -0.179 8.248
Ho Ni C
4 13 4
direct
0.500 0.348 0.348 Ho
0.500 0.652 0.652 Ho
0.500 0.812 0.188 Ho
0.500 0.188 0.812 Ho
0.000 0.000 0.000 Ni
0.000 0.215 0.570 Ni
0.000 0.785 0.430 Ni
0.000 0.430 0.785 Ni
0.000 0.570 0.215 Ni
0.500 0.000 0.500 Ni
0.500 0.500 0.000 Ni
0.000 0.075 0.290 Ni
0.000 0.925 0.710 Ni
0.000 0.710 0.925 Ni
0.000 0.290 0.075 Ni
0.500 0.123 0.123 Ni
0.500 0.877 0.877 Ni
0.000 0.442 0.558 C
0.000 0.558 0.442 C
0.000 0.000 0.500 C
0.000 0.500 0.000 C
```

Properties
Symmetry: Cmmm, No. 65
ΔH_f (0 K), meV per atom: -361
Theoretical density, Mg/m³: 9.5

No. 11
Material: Ho9Sb5CO4
Method: DFT, meta-GGA SCAN
State: PBEsol geometry

POSCAR file:
```
Ho9Sb5CO4
1.0
8.827 0.000 0.000
0.000 9.738 0.000
0.000 0.000 9.738
C Ho O Sb
2 18 8 10
direct
0.941 0.500 0.000 C
0.059 0.000 0.500 C
0.687 0.500 0.000 Ho
0.313 0.000 0.500 Ho
0.338 0.605 0.705 Ho
0.338 0.395 0.295 Ho
0.338 0.795 0.105 Ho
0.338 0.205 0.895 Ho
0.662 0.895 0.795 Ho
0.662 0.105 0.205 Ho
0.662 0.705 0.395 Ho
0.662 0.295 0.605 Ho
0.004 0.420 0.775 Ho
0.004 0.580 0.225 Ho
0.004 0.725 0.920 Ho
0.004 0.275 0.080 Ho
0.996 0.080 0.725 Ho
0.996 0.920 0.275 Ho
0.996 0.775 0.580 Ho
0.996 0.225 0.420 Ho
0.094 0.622 0.726 O
0.094 0.378 0.274 O
0.094 0.774 0.122 O
0.094 0.226 0.878 O
0.906 0.878 0.774 O
0.906 0.122 0.226 O
0.906 0.726 0.378 O
0.906 0.274 0.622 O
0.328 0.500 0.000 Sb
0.672 0.000 0.500 Sb
0.694 0.597 0.693 Sb
0.694 0.403 0.307 Sb
0.694 0.807 0.097 Sb
0.694 0.193 0.903 Sb
0.306 0.903 0.807 Sb
0.306 0.097 0.193 Sb
0.306 0.693 0.403 Sb
0.306 0.307 0.597 Sb
```

Properties
Symmetry: P4/n, No. 85
Formation energy (no corrections), eV/atom: -2.106
Theoretical density, Mg/m³: 8.6

No. 12
Material: Ho2OsC2
Method: DFT, meta-GGA SCAN
State: PBEsol geometry

POSCAR file:
```
Ho2OsC2
1.0
5.037 0.000 0.000
0.000 6.369 0.000
0.000 0.000 9.637
Ho Os C
8 4 8
direct
0.750 0.818 0.948 Ho
0.250 0.182 0.052 Ho
0.250 0.682 0.448 Ho
0.750 0.318 0.552 Ho
0.750 0.973 0.281 Ho
0.250 0.027 0.719 Ho
0.250 0.527 0.781 Ho
0.750 0.473 0.219 Ho
0.750 0.778 0.633 Os
0.250 0.222 0.367 Os
0.250 0.722 0.133 Os
0.750 0.278 0.867 Os
0.750 0.041 0.742 C
0.250 0.959 0.258 C
0.250 0.459 0.242 C
0.750 0.541 0.758 C
0.750 0.672 0.444 C
0.250 0.328 0.556 C
0.250 0.828 0.944 C
0.750 0.172 0.056 C
```

Properties
Symmetry: Pnma, No. 62
ΔH_f (0 K), meV per atom: -508
Theoretical density, Mg/m³: 11.7